(1)
PBE Er5NiTe2, optimized geometry; total DFT energy (no corrections) = -81.3 eV per cell; formation energy without anion corrections = -724 meV per atom; energy above the lowest structure with this stoichiometry = 0.00 eV per formula unit
1.0
-3.446 -0.399 1.949
-2.601 -5.209 -5.666
5.023 -9.953 6.844
Er Ni Te
10 2 4
Direct
0.000 0.000 0.500
0.000 0.500 0.000
0.000 0.834 0.180
0.000 0.166 0.820
0.000 0.666 0.680
0.000 0.334 0.320
0.500 0.666 0.416
0.500 0.334 0.584
0.500 0.834 0.916
0.500 0.166 0.084
0.000 0.500 0.500
0.000 0.000 0.000
0.500 0.535 0.182
0.500 0.465 0.818
0.500 0.965 0.682
0.500 0.035 0.318

---

(2)
PBE Er4NiTe3, optimized geometry; total DFT energy (no corrections) = -41.7 eV per cell; formation energy without anion corrections = -1030 meV per atom
1.0
4.102 0.000 0.000
0.000 7.125 -2.340
0.000 0.025 7.499
Ni Te Er
1 3 4
Direct
0.500 0.000 0.000
0.000 0.000 0.500
0.500 0.500 0.500
0.000 0.500 0.000
0.000 0.205 0.205
0.500 0.772 0.228
0.000 0.795 0.795
0.500 0.228 0.772

---

(3)
PBE Er5NiTe4, optimized geometry; total DFT energy (no corrections) = -52.0 eV per cell; formation energy without anion corrections = -1079 meV per atom
1.0
-4.848 3.584 -0.365
-3.091 1.576 6.550
1.558 7.236 0.387
Er Ni Te
5 1 4
Direct
0.908 0.349 0.837
0.257 0.837 0.651
0.745 0.163 0.349
0.094 0.651 0.163
0.501 0.000 0.000
0.001 0.000 0.000
0.415 0.396 0.775
0.812 0.775 0.604
0.190 0.225 0.396
0.587 0.604 0.225

---

Please write out number 3 again, unchanged.
PBE Er5NiTe4, optimized geometry; total DFT energy (no corrections) = -52.0 eV per cell; formation energy without anion corrections = -1079 meV per atom
1.0
-4.848 3.584 -0.365
-3.091 1.576 6.550
1.558 7.236 0.387
Er Ni Te
5 1 4
Direct
0.908 0.349 0.837
0.257 0.837 0.651
0.745 0.163 0.349
0.094 0.651 0.163
0.501 0.000 0.000
0.001 0.000 0.000
0.415 0.396 0.775
0.812 0.775 0.604
0.190 0.225 0.396
0.587 0.604 0.225